A relaxed HfMoO4 crystal, computed with GGA+U.

abc: 4.8124 4.8124 3.2377
angles: 90.00 90.00 90.64
Element x y z (fractional)
Hf (0.0000, 0.0000, 0.0000)
Mo (0.5000, 0.5000, 0.5000)
O (0.1975, 0.1975, 0.5000)
O (0.3042, 0.6958, 0.0000)
O (0.6958, 0.3042, 0.0000)
O (0.8025, 0.8025, 0.5000)

Results
Total energy ... -52.49 eV per cell